(1)
! PrGdCoNi, relaxed, DFT PBE; values from VASP
&SYSTEM
  ibrav = 0, nat = 4, ntyp = 4
/
ATOMIC_SPECIES
Pr 140.91 Pr.upf
Gd 157.25 Gd.upf
Co 58.93 Co.upf
Ni 58.69 Ni.upf
ATOMIC_POSITIONS crystal
Pr 0.0000 0.0000 0.0000
Gd 0.5000 0.5000 0.5000
Co 0.2500 0.2500 0.2500
Ni 0.7500 0.7500 0.7500
CELL_PARAMETERS angstrom
0.0000 3.4479 3.4479
3.4479 0.0000 3.4479
3.4479 3.4479 0.0000
! Crystal system: cubic
! ΔH_f (0 K) in eV per formula unit: -0.5
! M_tot in μB per cell: 6.738
! Space-group type: F-43m


(2)
! K3Tl9Ga2, relaxed, DFT PBE; values from VASP
&SYSTEM
  ibrav = 0, nat = 14, ntyp = 3
/
ATOMIC_SPECIES
K 39.10 K.upf
Tl 204.38 Tl.upf
Ga 69.72 Ga.upf
ATOMIC_POSITIONS crystal
K 0.0000 0.0000 0.0000
K 0.2900 0.2900 0.0000
K 0.7100 0.7100 0.0000
Tl 0.0079 0.3715 0.6364
Tl 0.1398 0.8533 0.2865
Tl 0.2649 0.6285 0.6364
Tl 0.4332 0.1467 0.2865
Tl 0.5000 0.0000 0.5000
Tl 0.5668 0.8533 0.7135
Tl 0.7351 0.3715 0.3636
Tl 0.8602 0.1467 0.7135
Tl 0.9921 0.6285 0.3636
Ga 0.3377 0.5000 0.8377
Ga 0.6623 0.5000 0.1623
CELL_PARAMETERS angstrom
-2.6284 6.0561 7.0320
2.6284 -6.0561 7.0320
2.6284 6.0561 -7.0320
! Crystal system: orthorhombic
! ΔH_f (0 K) in eV per formula unit: -0.6
! M_tot in μB per cell: 0.000
! Space-group type: Immm


What did the second record say?
! K3Tl9Ga2, relaxed, DFT PBE; values from VASP
&SYSTEM
  ibrav = 0, nat = 14, ntyp = 3
/
ATOMIC_SPECIES
K 39.10 K.upf
Tl 204.38 Tl.upf
Ga 69.72 Ga.upf
ATOMIC_POSITIONS crystal
K 0.0000 0.0000 0.0000
K 0.2900 0.2900 0.0000
K 0.7100 0.7100 0.0000
Tl 0.0079 0.3715 0.6364
Tl 0.1398 0.8533 0.2865
Tl 0.2649 0.6285 0.6364
Tl 0.4332 0.1467 0.2865
Tl 0.5000 0.0000 0.5000
Tl 0.5668 0.8533 0.7135
Tl 0.7351 0.3715 0.3636
Tl 0.8602 0.1467 0.7135
Tl 0.9921 0.6285 0.3636
Ga 0.3377 0.5000 0.8377
Ga 0.6623 0.5000 0.1623
CELL_PARAMETERS angstrom
-2.6284 6.0561 7.0320
2.6284 -6.0561 7.0320
2.6284 6.0561 -7.0320
! Crystal system: orthorhombic
! ΔH_f (0 K) in eV per formula unit: -0.6
! M_tot in μB per cell: 0.000
! Space-group type: Immm